[1]
Entry from Alexandria via LeMat-Bulk: a geometry-optimized Sr2InB2O6 structure (PBE).

Output
crystal system: monoclinic
DFT total energy: -6.87 eV/atom

a b c (Å): 9.5451 5.2941 6.5621
angles (deg): 90.00 118.08 90.00
With the nearest neighbours (Å) after each atom.
Space group C2/m (No. 12)
Inequivalent atoms, fractional coordinates:
Sr (0.2038, 0.0000, 0.1904) x4  9 O 2.65-2.86
In (0.0000, 0.0000, 0.5000) x2  6 O 2.36-2.53
B (0.0393, 0.5000, 0.2428) x4  3 O 1.37-1.41
O (0.0485, 0.2745, 0.8088) x8  1 B 1.41
O (0.2025, 0.5000, 0.3546) x4  1 B 1.37


[2]
Entry from Alexandria via LeMat-Bulk: a geometry-optimized TaInB2O structure (PBE).

Output
crystal system: tetragonal
energy above the lowest structure with this stoichiometry: 2054.0 meV/atom

a b c (Å): 3.9999 3.9999 5.5931
angles (deg): 90.00 90.00 90.00
With the nearest neighbours (Å) after each atom.
Space group P4/mmm (No. 123)
Inequivalent atoms, fractional coordinates:
Ta (0.0000, 0.0000, 0.0000) x1  2 In 2.80, 4 O 2.83
In (0.0000, 0.0000, 0.5000) x1  4 B 2.00
B (0.0000, 0.5000, 0.5000) x2  2 In 2.00
O (0.5000, 0.5000, 0.0000) x1  4 Ta 2.83


[3]
Entry from Alexandria via LeMat-Bulk: a geometry-optimized TaInB2O structure (PBE).

Output
crystal system: tetragonal
energy above the lowest structure with this stoichiometry: 0.0 meV/atom

a b c (Å): 4.5320 4.5320 3.9088
angles (deg): 90.00 90.00 90.00
With the nearest neighbours (Å) after each atom.
Space group P4/mmm (No. 123)
Inequivalent atoms, fractional coordinates:
Ta (0.0000, 0.0000, 0.0000) x1  2 O 1.95
In (0.5000, 0.5000, 0.5000) x1  8 B 2.99, 4 O 3.20
B (0.0000, 0.5000, 0.0000) x2  2 Ta 2.27
O (0.0000, 0.0000, 0.5000) x1  2 Ta 1.95


[4]
Entry from Alexandria via LeMat-Bulk: a geometry-optimized ThInB2O6 structure (PBE).

Output
crystal system: monoclinic
DFT total energy: -7.83 eV/atom

a b c (Å): 7.7692 10.5792 7.0361
angles (deg): 90.00 108.17 90.00
With the nearest neighbours (Å) after each atom.
Space group C2/c (No. 15)
Inequivalent atoms, fractional coordinates:
Th (0.0000, 0.0834, 0.2500) x4  6 O 2.27-2.45
In (0.0000, 0.4140, 0.7500) x4  4 O 2.38-2.48
B (0.2434, 0.1458, 0.7548) x8  3 O 1.37-1.40
O (0.0963, 0.1013, 0.5988) x8  1 B 1.40
O (0.1676, 0.4475, 0.1085) x8  1 B 1.40
O (0.2096, 0.2294, 0.2331) x8  1 B 1.37


[5]
Entry from Alexandria via LeMat-Bulk: a geometry-optimized Ti2InBO structure (PBE).

Output
crystal system: tetragonal
DFT total energy: -6.38 eV/atom

a b c (Å): 3.9919 3.9919 4.4202
angles (deg): 90.00 90.00 90.00
With the nearest neighbours (Å) after each atom.
Space group P4/mmm (No. 123)
Inequivalent atoms, fractional coordinates:
Ti (0.0000, 0.5000, 0.0000) x2  2 O 2.00
In (0.0000, 0.0000, 0.5000) x1  4 B 2.82, 8 Ti 2.98
B (0.5000, 0.5000, 0.5000) x1  2 O 2.21
O (0.5000, 0.5000, 0.0000) x1  4 Ti 2.00, 2 B 2.21


[6]
Entry from Alexandria via LeMat-Bulk: a geometry-optimized ZnInBO2 structure (PBE).

Output
crystal system: tetragonal
DFT total energy: -3.92 eV/atom

a b c (Å): 3.4609 3.4609 5.4458
angles (deg): 90.00 90.00 90.00
With the nearest neighbours (Å) after each atom.
Space group P4/mmm (No. 123)
Inequivalent atoms, fractional coordinates:
Zn (0.0000, 0.0000, 0.0000) x1  4 In 2.45
In (0.5000, 0.5000, 0.0000) x1  4 Zn 2.45, 2 B 2.72
B (0.5000, 0.5000, 0.5000) x1  4 O 1.73
O (0.0000, 0.5000, 0.5000) x2  2 B 1.73


[7]
Entry from Alexandria via LeMat-Bulk: a geometry-optimized Zn2InBO structure (PBE).

Output
crystal system: tetragonal
DFT total energy: -2.91 eV/atom

a b c (Å): 3.9527 3.9527 5.0997
angles (deg): 90.00 90.00 90.00
With the nearest neighbours (Å) after each atom.
Space group P4/mmm (No. 123)
Inequivalent atoms, fractional coordinates:
Zn (0.0000, 0.5000, 0.0000) x2  2 O 1.98
In (0.0000, 0.0000, 0.5000) x1  4 B 2.79
B (0.5000, 0.5000, 0.5000) x1  2 O 2.55, 4 In 2.79
O (0.5000, 0.5000, 0.0000) x1  4 Zn 1.98


[8]
Entry from Alexandria via LeMat-Bulk: a geometry-optimized InB3Os structure (PBE).

Output
crystal system: cubic
energy above the lowest structure with this stoichiometry: 0.0 meV/atom
ΔE_f: 0.843 eV per atom

a b c (Å): 4.2166 4.2166 4.2166
angles (deg): 90.00 90.00 90.00
With the nearest neighbours (Å) after each atom.
Space group Pm-3m (No. 221)
Inequivalent atoms, fractional coordinates:
In (0.0000, 0.0000, 0.0000) x1  12 B 2.98
B (0.0000, 0.5000, 0.5000) x3  2 Os 2.11
Os (0.5000, 0.5000, 0.5000) x1  6 B 2.11


[9]
Entry from Alexandria via LeMat-Bulk: a geometry-optimized InBOs2 structure (PBE).

Output
crystal system: tetragonal
energy above the lowest structure with this stoichiometry: 0.0 meV/atom
ΔE_f: 0.860 eV per atom

a b c (Å): 4.6274 4.6274 13.8951
angles (deg): 90.00 90.00 90.00
With the nearest neighbours (Å) after each atom.
Space group I-42d (No. 122)
Inequivalent atoms, fractional coordinates:
In (0.0000, 0.0000, 0.0000) x4  4 Os 2.83
B (0.0000, 0.0000, 0.5000) x4  4 Os 2.12
Os (0.0862, 0.2500, 0.6250) x8  2 B 2.12


[10]
Entry from Alexandria via LeMat-Bulk: a geometry-optimized InBOs2 structure (PBE).

Output
crystal system: cubic
energy above the lowest structure with this stoichiometry: 214.9 meV/atom
ΔE_f: 1.075 eV per atom

a b c (Å): 6.0744 6.0744 6.0744
angles (deg): 90.00 90.00 90.00
With the nearest neighbours (Å) after each atom.
Space group Fm-3m (No. 225)
Inequivalent atoms, fractional coordinates:
In (0.0000, 0.0000, 0.0000) x4  8 Os 2.63
B (0.0000, 0.0000, 0.5000) x4  8 Os 2.63
Os (0.2500, 0.2500, 0.2500) x8  4 In 2.63, 4 B 2.63


[11]
Entry from Alexandria via LeMat-Bulk: a geometry-optimized In3BOs structure (PBE).

Output
crystal system: cubic
energy above the lowest structure with this stoichiometry: 0.0 meV/atom
ΔE_f: 1.175 eV per atom

a b c (Å): 5.1687 5.1687 5.1687
angles (deg): 90.00 90.00 90.00
With the nearest neighbours (Å) after each atom.
Space group Pm-3m (No. 221)
Inequivalent atoms, fractional coordinates:
In (0.0000, 0.0000, 0.5000) x3  2 Os 2.58
B (0.5000, 0.5000, 0.5000) x1  12 In 3.65
Os (0.0000, 0.0000, 0.0000) x1  6 In 2.58


[12]
Entry from Alexandria via LeMat-Bulk: a geometry-optimized In3BOs structure (PBE).

Output
crystal system: cubic
energy above the lowest structure with this stoichiometry: 9.4 meV/atom
ΔE_f: 1.185 eV per atom

a b c (Å): 4.5778 4.5778 4.5778
angles (deg): 90.00 90.00 90.00
With the nearest neighbours (Å) after each atom.
Space group Pm-3m (No. 221)
Inequivalent atoms, fractional coordinates:
In (0.0000, 0.0000, 0.5000) x3  2 B 2.29
B (0.0000, 0.0000, 0.0000) x1  6 In 2.29
Os (0.5000, 0.5000, 0.5000) x1  12 In 3.24


[13]
Entry from Alexandria via LeMat-Bulk: a geometry-optimized InB3Os structure (PBE).

Output
crystal system: cubic
energy above the lowest structure with this stoichiometry: 2181.5 meV/atom
ΔE_f: 3.024 eV per atom

a b c (Å): 4.2390 4.2390 4.2390
angles (deg): 90.00 90.00 90.00
With the nearest neighbours (Å) after each atom.
Space group Pm-3m (No. 221)
Inequivalent atoms, fractional coordinates:
In (0.0000, 0.0000, 0.0000) x1  6 B 2.12
B (0.0000, 0.0000, 0.5000) x3  2 In 2.12
Os (0.5000, 0.5000, 0.5000) x1  12 B 3.00


[14]
Entry from Alexandria via LeMat-Bulk: a geometry-optimized InB2Os structure (PBE).

Output
crystal system: tetragonal
ΔE_f: 0.652 eV per atom

a b c (Å): 5.1247 5.1247 10.0499
angles (deg): 90.00 90.00 90.00
With the nearest neighbours (Å) after each atom.
Space group I-42d (No. 122)
Inequivalent atoms, fractional coordinates:
In (0.0000, 0.0000, 0.0000) x4  4 B 2.45
B (0.1735, 0.2500, 0.6250) x8  2 Os 2.00
Os (0.0000, 0.0000, 0.5000) x4  4 B 2.00


[15]
Entry from Alexandria via LeMat-Bulk: a geometry-optimized In2BPOs structure (PBE).

Output
crystal system: tetragonal
ΔE_f: 0.809 eV per atom

a b c (Å): 4.7084 4.7084 4.0943
angles (deg): 90.00 90.00 90.00
With the nearest neighbours (Å) after each atom.
Space group P4/mmm (No. 123)
Inequivalent atoms, fractional coordinates:
In (0.0000, 0.5000, 0.0000) x2  2 B 2.35
B (0.0000, 0.0000, 0.0000) x1  2 Os 2.05
P (0.5000, 0.5000, 0.5000) x1  8 In 3.12, 4 Os 3.33
Os (0.0000, 0.0000, 0.5000) x1  2 B 2.05


[16]
Entry from Alexandria via LeMat-Bulk: a geometry-optimized In2BOsPt structure (PBE).

Output
crystal system: tetragonal
ΔE_f: 0.502 eV per atom

a b c (Å): 4.5886 4.5886 4.0123
angles (deg): 90.00 90.00 90.00
With the nearest neighbours (Å) after each atom.
Space group P4/mmm (No. 123)
Inequivalent atoms, fractional coordinates:
In (0.0000, 0.5000, 0.0000) x2  2 B 2.29
B (0.0000, 0.0000, 0.0000) x1  2 Os 2.01
Os (0.0000, 0.0000, 0.5000) x1  2 B 2.01
Pt (0.5000, 0.5000, 0.5000) x1  8 In 3.05, 4 Os 3.24


[17]
Entry from Alexandria via LeMat-Bulk: a geometry-optimized InBSbOs2 structure (PBE).

Output
crystal system: tetragonal
DFT total energy: -4.87 eV/atom

a b c (Å): 5.0098 5.0098 4.0368
angles (deg): 90.00 90.00 90.00
With the nearest neighbours (Å) after each atom.
Space group P4/mmm (No. 123)
Inequivalent atoms, fractional coordinates:
In (0.0000, 0.0000, 0.0000) x1  2 B 2.02
B (0.0000, 0.0000, 0.5000) x1  2 In 2.02
Sb (0.5000, 0.5000, 0.5000) x1  8 Os 3.22, 4 B 3.54
Os (0.0000, 0.5000, 0.0000) x2  2 In 2.50


[18]
Entry from Alexandria via LeMat-Bulk: a geometry-optimized Sc2InBOs structure (PBE).

Output
crystal system: tetragonal
ΔE_f: -0.428 eV per atom

a b c (Å): 4.6695 4.6695 4.0521
angles (deg): 90.00 90.00 90.00
With the nearest neighbours (Å) after each atom.
Space group P4/mmm (No. 123)
Inequivalent atoms, fractional coordinates:
Sc (0.0000, 0.5000, 0.0000) x2  2 B 2.33
In (0.0000, 0.0000, 0.5000) x1  8 Sc 3.09, 4 Os 3.30
B (0.5000, 0.5000, 0.0000) x1  2 Os 2.03
Os (0.5000, 0.5000, 0.5000) x1  2 B 2.03


[19]
Entry from Alexandria via LeMat-Bulk: a geometry-optimized SrInBOs2 structure (PBE).

Output
crystal system: tetragonal
ΔE_f: 2.007 eV per atom

a b c (Å): 5.0796 5.0796 4.2365
angles (deg): 90.00 90.00 90.00
With the nearest neighbours (Å) after each atom.
Space group P4/mmm (No. 123)
Inequivalent atoms, fractional coordinates:
Sr (0.0000, 0.0000, 0.0000) x1  8 Os 3.31, 4 B 3.59
In (0.5000, 0.5000, 0.5000) x1  2 B 2.12
B (0.5000, 0.5000, 0.0000) x1  2 In 2.12
Os (0.0000, 0.5000, 0.5000) x2  2 In 2.54


[20]
Entry from Alexandria via LeMat-Bulk: a geometry-optimized Y2InBOs structure (PBE).

Output
crystal system: tetragonal
ΔE_f: -0.362 eV per atom

a b c (Å): 5.0847 5.0847 4.0550
angles (deg): 90.00 90.00 90.00
With the nearest neighbours (Å) after each atom.
Space group P4/mmm (No. 123)
Inequivalent atoms, fractional coordinates:
Y (0.0000, 0.5000, 0.0000) x2  2 B 2.54
In (0.0000, 0.0000, 0.5000) x1  8 Y 3.25, 4 Os 3.60
B (0.5000, 0.5000, 0.0000) x1  2 Os 2.03
Os (0.5000, 0.5000, 0.5000) x1  2 B 2.03


[21]
Entry from Alexandria via LeMat-Bulk: a geometry-optimized ZnIn2BOs structure (PBE).

Output
crystal system: tetragonal
ΔE_f: 0.679 eV per atom

a b c (Å): 4.7189 4.7189 4.0751
angles (deg): 90.00 90.00 90.00
With the nearest neighbours (Å) after each atom.
Space group P4/mmm (No. 123)
Inequivalent atoms, fractional coordinates:
Zn (0.0000, 0.0000, 0.0000) x1  8 In 3.12, 4 Os 3.34
In (0.0000, 0.5000, 0.5000) x2  2 B 2.36
B (0.5000, 0.5000, 0.5000) x1  2 Os 2.04
Os (0.5000, 0.5000, 0.0000) x1  2 B 2.04


[22]
Entry from Alexandria via LeMat-Bulk: a geometry-optimized InB3P structure (PBE).

Output
crystal system: cubic
energy above the lowest structure with this stoichiometry: 1140.9 meV/atom
ΔE_f: 2.502 eV per atom

a b c (Å): 4.4520 4.4520 4.4520
angles (deg): 90.00 90.00 90.00
With the nearest neighbours (Å) after each atom.
Space group Pm-3m (No. 221)
Inequivalent atoms, fractional coordinates:
In (0.0000, 0.0000, 0.0000) x1  6 B 2.23
B (0.0000, 0.0000, 0.5000) x3  2 In 2.23
P (0.5000, 0.5000, 0.5000) x1  12 B 3.15


[23]
Entry from Alexandria via LeMat-Bulk: a geometry-optimized InBP2 structure (PBE).

Output
crystal system: tetragonal
energy above the lowest structure with this stoichiometry: 0.0 meV/atom
ΔE_f: -0.099 eV per atom

a b c (Å): 5.3669 5.3669 9.8050
angles (deg): 90.00 90.00 90.00
With the nearest neighbours (Å) after each atom.
Space group I-42d (No. 122)
Inequivalent atoms, fractional coordinates:
In (0.0000, 0.0000, 0.0000) x4  4 P 2.55
B (0.0000, 0.0000, 0.5000) x4  4 P 2.02
P (0.1660, 0.2500, 0.6250) x8  2 B 2.02


[24]
Entry from Alexandria via LeMat-Bulk: a geometry-optimized InBP3 structure (PBE).

Output
crystal system: cubic
energy above the lowest structure with this stoichiometry: 1338.8 meV/atom
ΔE_f: 2.108 eV per atom

a b c (Å): 5.0464 5.0464 5.0464
angles (deg): 90.00 90.00 90.00
With the nearest neighbours (Å) after each atom.
Space group Pm-3m (No. 221)
Inequivalent atoms, fractional coordinates:
In (0.0000, 0.0000, 0.0000) x1  6 P 2.52
B (0.5000, 0.5000, 0.5000) x1  12 P 3.57
P (0.0000, 0.0000, 0.5000) x3  2 In 2.52


[25]
Entry from Alexandria via LeMat-Bulk: a geometry-optimized InB3P structure (PBE).

Output
crystal system: cubic
energy above the lowest structure with this stoichiometry: 0.0 meV/atom
ΔE_f: 1.361 eV per atom

a b c (Å): 3.9916 3.9916 3.9916
angles (deg): 90.00 90.00 90.00
With the nearest neighbours (Å) after each atom.
Space group Pm-3m (No. 221)
Inequivalent atoms, fractional coordinates:
In (0.0000, 0.0000, 0.0000) x1  12 B 2.82
B (0.0000, 0.5000, 0.5000) x3  2 P 2.00
P (0.5000, 0.5000, 0.5000) x1  6 B 2.00


[26]
Entry from Alexandria via LeMat-Bulk: a geometry-optimized InBP3 structure (PBE).

Output
crystal system: cubic
energy above the lowest structure with this stoichiometry: 0.0 meV/atom
ΔE_f: 0.770 eV per atom

a b c (Å): 4.2716 4.2716 4.2716
angles (deg): 90.00 90.00 90.00
With the nearest neighbours (Å) after each atom.
Space group Pm-3m (No. 221)
Inequivalent atoms, fractional coordinates:
In (0.0000, 0.0000, 0.0000) x1  12 P 3.02
B (0.5000, 0.5000, 0.5000) x1  6 P 2.14
P (0.0000, 0.5000, 0.5000) x3  2 B 2.14


[27]
Entry from Alexandria via LeMat-Bulk: a geometry-optimized In3BP structure (PBE).

Output
crystal system: cubic
energy above the lowest structure with this stoichiometry: 0.0 meV/atom
ΔE_f: 0.546 eV per atom

a b c (Å): 4.7143 4.7143 4.7143
angles (deg): 90.00 90.00 90.00
With the nearest neighbours (Å) after each atom.
Space group Pm-3m (No. 221)
Inequivalent atoms, fractional coordinates:
In (0.0000, 0.0000, 0.5000) x3  2 B 2.36
B (0.0000, 0.0000, 0.0000) x1  6 In 2.36
P (0.5000, 0.5000, 0.5000) x1  12 In 3.33


Number 1: V 292.6 Å³/cell. Number 2: V 89.5 Å³/cell. Number 3: V 80.3 Å³/cell. Number 4: V 549.5 Å³/cell. Number 5: V 70.4 Å³/cell. Number 6: V 65.2 Å³/cell. Number 7: V 79.7 Å³/cell. Number 8: V 75.0 Å³/cell. Number 9: V 297.5 Å³/cell. Number 10: V 224.1 Å³/cell. Number 11: V 138.1 Å³/cell. Number 12: V 95.9 Å³/cell. Number 13: V 76.2 Å³/cell. Number 14: V 263.9 Å³/cell. Number 15: V 90.8 Å³/cell. Number 16: V 84.5 Å³/cell. Number 17: V 101.3 Å³/cell. Number 18: V 88.4 Å³/cell. Number 19: V 109.3 Å³/cell. Number 20: V 104.8 Å³/cell. Number 21: V 90.7 Å³/cell. Number 22: V 88.2 Å³/cell. Number 23: V 282.4 Å³/cell. Number 24: V 128.5 Å³/cell. Number 25: V 63.6 Å³/cell. Number 26: V 77.9 Å³/cell. Number 27: V 104.8 Å³/cell.